1.
VASP calculation (PBE) on a relaxed La3Mg4Sc crystal.

The structure in CIF format:
```
data_La3Mg4Sc
_chemical_formula_sum 'La3 Mg4 Sc1'
_symmetry_space_group_name_H-M 'P 4/m m m'
_symmetry_Int_Tables_number 123
_symmetry_space_group_name_Hall '-P 4 2'
_cell_length_a 3.848
_cell_length_b 3.848
_cell_length_c 15.701
_cell_angle_alpha 90.00
_cell_angle_beta 90.00
_cell_angle_gamma 90.00
loop_
_atom_site_label
_atom_site_fract_x
_atom_site_fract_y
_atom_site_fract_z
_atom_site_occupancy
La1 0.000 0.000 0.000 1
La2 0.000 0.000 0.263 1
Mg1 0.500 0.500 0.131 1
Mg2 0.500 0.500 0.397 1
Sc1 0.000 0.000 0.500 1
```

Values from the calculation:
D(E_F)   1.248 states/eV per atom
Crystal system   tetragonal
Energy relative to the elements   -0.0788 eV per atom


2.
VASP calculation (PBE) on a relaxed LaMgSc crystal.

The structure in CIF format:
```
data_LaMgSc
_chemical_formula_sum 'La4 Mg4 Sc4'
_symmetry_space_group_name_H-M 'C 1 2/m 1'
_symmetry_Int_Tables_number 12
_cell_length_a 12.575
_cell_length_b 3.592
_cell_length_c 7.960
_cell_angle_alpha 90.00
_cell_angle_beta 106.16
_cell_angle_gamma 90.00
loop_
_symmetry_equiv_pos_as_xyz
'x,y,z'
'-x,-y,-z'
'-x,y,-z'
'x,-y,z'
'x+1/2,y+1/2,z'
'-x+1/2,-y+1/2,-z'
'-x+1/2,y+1/2,-z'
'x+1/2,-y+1/2,z'
loop_
_atom_site_label
_atom_site_fract_x
_atom_site_fract_y
_atom_site_fract_z
_atom_site_occupancy
La1 0.013 0.000 0.278 1
Mg1 0.166 0.500 0.050 1
Sc1 0.200 0.500 0.624 1
```

Values from the calculation:
D(E_F)   1.299 states/eV per atom
Crystal system   monoclinic
Distance to the lowest polymorph of the same formula   0.044 eV per atom
Energy relative to the elements   0.0400 eV per atom


Q: The highest D(E_F) belongs to which entry?
A: LaMgSc